Record 1
# Cd8GaPb2

A relaxed Cd8GaPb2 crystal (PBE, Alexandria via LeMat-Bulk).

Computed properties:
DFT formation energy, eV/atom: 0.1016
Energy, eV per atom: -1.51
Crystal system: monoclinic

Geometry as CIF:
```
data_Cd8GaPb2
_symmetry_space_group_name_H-M 'C 1 2/m 1'
_symmetry_Int_Tables_number 12
_symmetry_space_group_name_Hall '-C 2y'
_cell_length_a 11.854
_cell_length_b 9.097
_cell_length_c 5.937
_cell_angle_alpha 90.00
_cell_angle_beta 110.97
_cell_angle_gamma 90.00
loop_
_atom_site_label
_atom_site_type_symbol
_atom_site_fract_x
_atom_site_fract_y
_atom_site_fract_z
Cd1 Cd 0.040 0.000 0.287
Cd2 Cd 0.132 0.232 0.028
Cd3 Cd 0.224 0.000 0.755
Ga1 Ga 0.000 0.500 0.000
Pb1 Pb 0.157 0.500 0.641
```

Record 2
# CdGa2Pb2

A relaxed CdGa2Pb2 crystal (PBE, Alexandria via LeMat-Bulk).

Computed properties:
DFT formation energy, eV/atom: 0.1742
Distance to the lowest polymorph of the same formula, eV/f.u.: 0.57
Energy, eV per atom: -2.70
Crystal system: tetragonal

Geometry as CIF:
```
data_CdGa2Pb2
_symmetry_space_group_name_H-M 'I 4/m m m'
_symmetry_Int_Tables_number 139
_symmetry_space_group_name_Hall '-I 4 2'
_cell_length_a 5.036
_cell_length_b 5.036
_cell_length_c 11.118
_cell_angle_alpha 90.00
_cell_angle_beta 90.00
_cell_angle_gamma 90.00
loop_
_atom_site_label
_atom_site_type_symbol
_atom_site_fract_x
_atom_site_fract_y
_atom_site_fract_z
Cd1 Cd 0.000 0.000 0.000
Ga1 Ga 0.000 0.000 0.390
Pb1 Pb 0.000 0.500 0.250
```

Record 3
# Cd4GaPb2

A relaxed Cd4GaPb2 crystal (PBE, Alexandria via LeMat-Bulk).

Computed properties:
DFT formation energy, eV/atom: 0.0592
Energy, eV per atom: -1.96
Crystal system: orthorhombic

Geometry as CIF:
```
data_Cd4GaPb2
_symmetry_space_group_name_H-M 'C m m m'
_symmetry_Int_Tables_number 65
_symmetry_space_group_name_Hall '-C 2 2'
_cell_length_a 3.507
_cell_length_b 31.527
_cell_length_c 3.197
_cell_angle_alpha 90.00
_cell_angle_beta 90.00
_cell_angle_gamma 90.00
loop_
_atom_site_label
_atom_site_type_symbol
_atom_site_fract_x
_atom_site_fract_y
_atom_site_fract_z
Cd1 Cd 0.000 0.062 0.000
Cd2 Cd 0.000 0.373 0.500
Ga1 Ga 0.000 0.500 0.500
Pb1 Pb 0.000 0.202 0.000
```

Record 4
# Cd2Ga2Pb

A relaxed Cd2Ga2Pb crystal (PBE, Alexandria via LeMat-Bulk).

Computed properties:
DFT formation energy, eV/atom: 0.0830
Distance to the lowest polymorph of the same formula, eV/f.u.: 0.15
Energy, eV per atom: -2.24
Crystal system: tetragonal

Geometry as CIF:
```
data_Cd2Ga2Pb
_symmetry_space_group_name_H-M 'P 4/m b m'
_symmetry_Int_Tables_number 127
_symmetry_space_group_name_Hall '-P 4 2ab'
_cell_length_a 8.272
_cell_length_b 8.272
_cell_length_c 3.435
_cell_angle_alpha 90.00
_cell_angle_beta 90.00
_cell_angle_gamma 90.00
loop_
_atom_site_label
_atom_site_type_symbol
_atom_site_fract_x
_atom_site_fract_y
_atom_site_fract_z
Cd1 Cd 0.179 0.321 0.000
Ga1 Ga 0.118 0.618 0.500
Pb1 Pb 0.000 0.000 0.500
```

Record 5
# Cd2GaPb2

A relaxed Cd2GaPb2 crystal (PBE, Alexandria via LeMat-Bulk).

Computed properties:
DFT formation energy, eV/atom: 0.1025
Distance to the lowest polymorph of the same formula, eV/f.u.: 0.00
Energy, eV per atom: -2.35
Crystal system: tetragonal

Geometry as CIF:
```
data_Cd2GaPb2
_symmetry_space_group_name_H-M 'P 4/m b m'
_symmetry_Int_Tables_number 127
_symmetry_space_group_name_Hall '-P 4 2ab'
_cell_length_a 7.352
_cell_length_b 7.352
_cell_length_c 4.969
_cell_angle_alpha 90.00
_cell_angle_beta 90.00
_cell_angle_gamma 90.00
loop_
_atom_site_label
_atom_site_type_symbol
_atom_site_fract_x
_atom_site_fract_y
_atom_site_fract_z
Cd1 Cd 0.139 0.361 0.000
Ga1 Ga 0.000 0.000 0.000
Pb1 Pb 0.172 0.672 0.500
```

Record 6
# Cd2GaPb2

A relaxed Cd2GaPb2 crystal (PBE, Alexandria via LeMat-Bulk).

Computed properties:
DFT formation energy, eV/atom: 0.1752
Distance to the lowest polymorph of the same formula, eV/f.u.: 0.36
Energy, eV per atom: -2.28
Crystal system: tetragonal

Geometry as CIF:
```
data_Cd2GaPb2
_symmetry_space_group_name_H-M 'P 4/m b m'
_symmetry_Int_Tables_number 127
_symmetry_space_group_name_Hall '-P 4 2ab'
_cell_length_a 7.912
_cell_length_b 7.912
_cell_length_c 4.552
_cell_angle_alpha 90.00
_cell_angle_beta 90.00
_cell_angle_gamma 90.00
loop_
_atom_site_label
_atom_site_type_symbol
_atom_site_fract_x
_atom_site_fract_y
_atom_site_fract_z
Cd1 Cd 0.149 0.351 0.000
Ga1 Ga 0.000 0.000 0.500
Pb1 Pb 0.156 0.656 0.500
```